La2MgCr (PBE, optimized geometry); symmetry = F-43m (216); crystal system = cubic
1.0
-0.700 -0.181 -5.263
4.100 -1.119 -3.188
0.190 -4.659 -2.547
Cr La Mg
1 2 1
direct
0.500 0.500 0.500
0.000 0.000 0.000
0.250 0.250 0.250
0.750 0.750 0.750

=====

La2MgCr (PBE, optimized geometry); symmetry = Imm2 (44); crystal system = orthorhombic
1.0
6.431 -0.144 0.009
5.401 3.494 0.009
2.289 0.648 4.863
Cr La Mg
1 2 1
direct
0.234 0.234 0.266
0.972 0.972 0.028
0.757 0.757 0.743
0.537 0.537 0.463

=====

Number 1: total DFT energy (no corrections) -19.94 eV per cell, DFT formation energy 109 kJ/mol of formula units, volume 106 Å³/f.u.. Number 2: total DFT energy (no corrections) -20.11 eV per cell, DFT formation energy 93 kJ/mol of formula units, volume 113 Å³/f.u..